Record 1
The following is a PBE calculation of crystalline Rb2AlSbSe4 at its relaxed geometry, from the Alexandria database.

Computed properties:
- Density: 3.49 g cm⁻³
- ΔE_f (raw): -6.47 eV per formula unit

```
16
Lattice="6.621 0.000 0.000 3.310 7.302 0.000 3.310 0.000 12.495" Properties=species:S:1:pos:R:3 pbc="T T T"
Rb 3.310 0.000 7.939
Rb 6.621 0.000 4.556
Rb 8.276 3.651 10.804
Rb 8.276 3.651 1.691
Al 4.966 3.651 6.248
Al 3.310 0.000 0.000
Sb 8.276 3.651 6.248
Sb 0.000 0.000 0.000
Se 5.226 5.848 1.357
Se 5.226 1.453 11.138
Se 11.326 5.848 11.138
Se 4.705 1.453 1.357
Se 6.360 5.104 4.891
Se 6.360 2.198 7.604
Se 10.191 5.104 7.604
Se 3.571 2.198 4.891
```

***

Record 2
The following is a PBE calculation of crystalline RbAlSbTe3 at its relaxed geometry, from the Alexandria database.

Computed properties:
- Density: 4.14 g cm⁻³
- ΔE_f (raw): -2.63 eV per formula unit

```
12
Lattice="-1.915 1.962 3.432 6.397 -4.951 6.401 5.714 9.342 -2.153" Properties=species:S:1:pos:R:3 pbc="T T T"
Rb 1.734 1.482 1.526
Rb 8.462 4.870 6.154
Al 3.534 5.775 0.075
Al 6.662 0.577 7.604
Sb 4.459 -1.195 4.577
Sb 5.738 7.547 3.103
Te 5.008 -1.376 7.798
Te 5.189 7.729 -0.118
Te 7.599 1.002 5.073
Te 2.597 5.351 2.606
Te 2.222 0.642 5.090
Te 7.974 5.711 2.590
```

***

Record 3
The following is a PBE calculation of crystalline Rb3ScAl at its relaxed geometry, from the Alexandria database.

Computed properties:
- Density: 1.65 g cm⁻³
- DFT formation energy: 913 meV/atom
- E above lowest polymorph: 0 meV per atom

```
5
Lattice="-6.767 -1.348 0.313 1.384 -6.601 1.487 0.009 1.519 6.738" Properties=species:S:1:pos:R:3 pbc="T T T"
Sc -2.687 -3.215 4.269
Al 0.000 0.000 0.000
Rb 0.692 -3.301 0.743
Rb 0.005 0.760 3.369
Rb -3.383 -0.674 0.157
```

***

Record 4
The following is a PBE calculation of crystalline RbScAl3 at its relaxed geometry, from the Alexandria database.

Computed properties:
- Density: 2.11 g cm⁻³
- DFT formation energy: 608 meV/atom
- E above lowest polymorph: 0 meV per atom

```
5
Lattice="-4.866 0.826 -2.427 1.532 -3.238 -4.174 -2.056 -4.369 2.634" Properties=species:S:1:pos:R:3 pbc="T T T"
Sc 0.000 0.000 0.000
Al 0.766 -1.619 -2.087
Al -1.028 -2.184 1.317
Al -2.433 0.413 -1.214
Rb -2.695 -3.390 -1.984
```

***

Record 5
The following is a PBE calculation of crystalline RbScAl2 at its relaxed geometry, from the Alexandria database.

Computed properties:
- Density: 2.89 g cm⁻³
- DFT formation energy: 468 meV/atom
- E above lowest polymorph: 0 meV per atom

```
4
Lattice="-0.220 -3.560 3.937 -4.374 -0.387 2.990 -3.150 -4.255 -0.439" Properties=species:S:1:pos:R:3 pbc="T T T"
Sc 0.000 0.000 0.000
Al -1.936 -2.050 1.622
Al -5.809 -6.151 4.866
Rb -3.872 -4.101 3.244
```

***

Record 6
The following is a PBE calculation of crystalline RbSc3Al at its relaxed geometry, from the Alexandria database.

Computed properties:
- Density: 2.53 g cm⁻³
- DFT formation energy: 548 meV/atom
- E above lowest polymorph: 0 meV per atom

```
5
Lattice="-2.097 3.665 -3.456 -4.974 -2.095 0.796 -0.792 3.457 4.146" Properties=species:S:1:pos:R:3 pbc="T T T"
Sc -2.487 -1.048 0.398
Sc -0.396 1.728 2.073
Sc -1.048 1.832 -1.728
Al 0.000 0.000 0.000
Rb -3.932 2.513 0.744
```

***

Record 7
The following is a PBE calculation of crystalline RbScAl3 at its relaxed geometry, from the Alexandria database.

Computed properties:
- Density: 2.24 g cm⁻³
- DFT formation energy: 1625 meV/atom
- E above lowest polymorph: 1017 meV per atom

```
5
Lattice="-0.286 4.613 2.779 -5.383 -0.155 -0.296 -0.173 -2.789 4.613" Properties=species:S:1:pos:R:3 pbc="T T T"
Sc -2.921 0.834 3.548
Al -2.691 -0.078 -0.148
Al -0.087 -1.395 2.306
Al -0.143 2.307 1.389
Rb 0.000 0.000 0.000
```

***

Record 8
The following is a PBE calculation of crystalline RbScAl2 at its relaxed geometry, from the Alexandria database.

Computed properties:
- Density: 2.06 g cm⁻³
- DFT formation energy: 549 meV/atom
- E above lowest polymorph: 81 meV per atom

```
8
Lattice="-4.363 3.190 -0.598 -3.159 -3.945 2.006 -2.390 3.233 9.965" Properties=species:S:1:pos:R:3 pbc="T T T"
Sc -3.761 -0.377 0.704
Sc -4.655 -0.545 6.338
Al -2.630 1.512 2.518
Al -4.207 -0.462 3.521
Al -5.403 1.157 8.503
Al -7.586 2.750 8.205
Rb 0.000 0.000 0.000
Rb -5.257 3.023 5.036
```

***

Record 9
The following is a PBE calculation of crystalline RbSc3Al at its relaxed geometry, from the Alexandria database.

Computed properties:
- Density: 3.23 g cm⁻³
- DFT formation energy: 1474 meV/atom
- E above lowest polymorph: 926 meV per atom

```
5
Lattice="5.028 0.000 0.000 0.000 5.028 0.000 0.000 0.000 5.028" Properties=species:S:1:pos:R:3 pbc="T T T"
Sc 0.000 2.514 0.000
Sc 0.000 0.000 2.514
Sc 2.514 0.000 0.000
Al 2.514 2.514 2.514
Rb 0.000 0.000 0.000
```

***

Record 10
The following is a PBE calculation of crystalline RbScAlSe4 at its relaxed geometry, from the Alexandria database.

Computed properties:
- Density: 4.06 g cm⁻³
- ΔE_f (raw): -8.00 eV per formula unit

```
14
Lattice="-3.732 4.434 -3.773 -2.521 -4.600 -2.912 -5.265 -2.126 7.915" Properties=species:S:1:pos:R:3 pbc="T T T"
Rb -9.708 -2.144 2.521
Rb -1.810 -0.147 -1.291
Sc -7.022 -1.087 -1.475
Sc -4.497 -1.204 2.705
Al -4.653 -3.021 -0.471
Al -6.866 0.730 1.700
Se -5.011 -3.748 3.929
Se -5.308 3.646 -1.313
Se -6.507 1.457 -2.699
Se -6.211 -5.937 2.543
Se -4.556 -1.815 -2.459
Se -6.962 -0.476 3.689
Se -6.637 -2.703 0.745
Se -4.881 0.412 0.485
```

***

Record 11
The following is a PBE calculation of crystalline Rb2ScAlSe4 at its relaxed geometry, from the Alexandria database.

Computed properties:
- Density: 3.81 g cm⁻³
- ΔE_f (raw): -10.31 eV per formula unit

```
8
Lattice="6.766 0.000 0.000 3.383 6.002 0.000 3.383 0.000 6.002" Properties=species:S:1:pos:R:3 pbc="T T T"
Rb 3.383 3.001 3.001
Rb 6.766 3.001 3.001
Sc 0.000 0.000 0.000
Al 3.383 0.000 0.000
Se 1.815 1.874 0.000
Se 8.335 0.000 4.127
Se 4.952 0.000 1.874
Se 5.198 4.127 0.000
```

***

Record 12
The following is a PBE calculation of crystalline RbSc2TaAl at its relaxed geometry, from the Alexandria database.

Computed properties:
- Density: 3.90 g cm⁻³
- DFT formation energy: 1302 meV/atom

```
5
Lattice="-2.675 -4.462 0.321 4.629 -2.951 -2.443 1.972 -0.840 4.751" Properties=species:S:1:pos:R:3 pbc="T T T"
Sc 0.986 -0.420 2.376
Sc -1.337 -2.231 0.161
Al 1.963 -4.126 1.315
Rb 2.315 -1.475 -1.221
Ta 0.000 0.000 0.000
```

***

Record 13
The following is a PBE calculation of crystalline RbSc2AlTc at its relaxed geometry, from the Alexandria database.

Computed properties:
- Density: 4.40 g cm⁻³
- DFT formation energy: 1859 meV/atom
- E above lowest polymorph: 1647 meV per atom

```
5
Lattice="-3.067 -0.075 -3.834 -0.030 -4.702 0.116 -3.835 0.100 3.066" Properties=species:S:1:pos:R:3 pbc="T T T"
Sc -1.917 0.050 1.533
Sc -1.534 -0.037 -1.917
Tc -0.015 -2.351 0.058
Rb 0.000 0.000 0.000
Al -3.466 -2.338 -0.326
```